Compound: ErHfCS
Source: the Open Quantum Materials Database
Functional: PBE-GGA
Structure: optimized geometry

Structure (POSCAR):
```
ErHfCS
1.0
3.491 0.000 0.000
-1.745 3.023 0.000
0.000 0.000 12.475
Hf C S Er
2 2 2 2
Direct
0.667 0.333 0.399
0.333 0.667 0.899
0.000 0.000 0.989
0.000 0.000 0.489
0.667 0.333 0.759
0.333 0.667 0.259
0.667 0.333 0.103
0.333 0.667 0.603
```

Output
Symmetry = P6_3mc, No. 186
Total energy = -66.2 eV/cell
Distance to the lowest polymorph of the same formula = 0.0000 eV/atom